VASP calculation (PBE-GGA) on Li5Au3 after structural relaxation.

Cell lengths 7.057, 7.057, 10.281 Å; angles 90.00, 90.00, 90.00 degrees
Fractional coordinates of all 32 atoms:
Au: 0.000 0.500 0.001
Au: 0.858 0.142 0.250
Au: 0.358 0.358 0.250
Au: 0.642 0.642 0.250
Au: 0.142 0.858 0.250
Au: 0.500 0.000 0.499
Au: 0.000 0.500 0.501
Au: 0.142 0.142 0.750
Au: 0.642 0.358 0.750
Au: 0.358 0.642 0.750
Au: 0.858 0.858 0.750
Au: 0.500 0.000 0.999
Li: 0.157 0.157 0.091
Li: 0.657 0.343 0.091
Li: 0.343 0.657 0.091
Li: 0.843 0.843 0.091
Li: 0.500 0.000 0.249
Li: 0.000 0.500 0.251
Li: 0.157 0.157 0.409
Li: 0.657 0.343 0.409
Li: 0.343 0.657 0.409
Li: 0.843 0.843 0.409
Li: 0.843 0.157 0.591
Li: 0.343 0.343 0.591
Li: 0.657 0.657 0.591
Li: 0.157 0.843 0.591
Li: 0.500 0.000 0.749
Li: 0.000 0.500 0.751
Li: 0.843 0.157 0.909
Li: 0.343 0.343 0.909
Li: 0.657 0.657 0.909
Li: 0.157 0.843 0.909

Properties
uncorrected energy: -22.9 eV/f.u.
excess energy over the best structure of this formula in the dataset: 48 meV per atom
space group: No. 130



VASP calculation (PBE-GGA) on LuFeGe after structural relaxation.

Cell lengths 4.265, 4.265, 4.265 Å; angles 60.00, 60.00, 60.00 degrees
Fractional coordinates of all 3 atoms:
Fe: 0.000 0.000 0.000
Ge: 0.250 0.250 0.250
Lu: 0.750 0.750 0.750

Properties
uncorrected energy: -17.8 eV/f.u.
space group: No. 216



VASP calculation (PBE-GGA) on KAuO3 after structural relaxation.

Cell lengths 5.703, 5.637, 8.226 Å; angles 90.00, 90.00, 90.00 degrees
Fractional coordinates of all 20 atoms:
Au: 0.500 0.000 0.000
Au: 0.000 0.500 0.000
Au: 0.500 0.000 0.500
Au: 0.000 0.500 0.500
K: 0.990 0.046 0.250
K: 0.510 0.546 0.250
K: 0.490 0.454 0.750
K: 0.010 0.954 0.750
O: 0.696 0.305 0.030
O: 0.804 0.805 0.030
O: 0.433 0.038 0.250
O: 0.067 0.538 0.250
O: 0.696 0.305 0.470
O: 0.804 0.805 0.470
O: 0.196 0.195 0.530
O: 0.304 0.695 0.530
O: 0.933 0.462 0.750
O: 0.567 0.962 0.750
O: 0.196 0.195 0.970
O: 0.304 0.695 0.970

Properties
uncorrected energy: -20.2 eV/f.u.
space group: No. 62



VASP calculation (PBE-GGA) on NdHo2Mg3CdIn2 after structural relaxation.

Cell lengths 4.666, 7.598, 7.598 Å; angles 120.92, 90.00, 90.00 degrees
Fractional coordinates of all 9 atoms:
Cd: 0.000 0.991 0.991
Ho: 0.000 0.576 0.002
Ho: 0.000 0.002 0.576
In: 0.500 0.672 0.333
In: 0.500 0.333 0.672
Mg: 0.500 0.239 0.000
Mg: 0.500 0.000 0.239
Mg: 0.500 0.759 0.759
Nd: 0.000 0.427 0.427

Properties
uncorrected energy: -28.2 eV/f.u.
space group: No. 38



VASP calculation (PBE-GGA) on PmTaN2O after structural relaxation.

Cell lengths 5.546, 5.546, 5.657 Å; angles 118.87, 118.87, 90.63 degrees
Fractional coordinates of all 10 atoms:
N: 0.763 0.237 0.000
N: 0.237 0.763 0.000
N: 0.669 0.669 0.481
N: 0.331 0.331 0.519
O: 0.825 0.175 0.500
O: 0.175 0.825 0.500
Pm: 0.249 0.249 0.007
Pm: 0.751 0.751 0.993
Ta: 0.500 0.000 0.500
Ta: 0.000 0.500 0.500

Properties
uncorrected energy: -47.6 eV/f.u.
space group: No. 12



VASP calculation (PBE-GGA) on AcThB after structural relaxation.

Cell lengths 4.788, 4.788, 4.788 Å; angles 60.00, 60.00, 60.00 degrees
Fractional coordinates of all 3 atoms:
Ac: 0.500 0.500 0.500
B: 0.250 0.250 0.250
Th: 0.000 0.000 0.000

Properties
uncorrected energy: -17.2 eV/f.u.
excess energy over the best structure of this formula in the dataset: 0 meV per atom
space group: No. 216



> Which of these has the highest uncorrected energy?

AcThB



Copy entry 1 word for word.
VASP calculation (PBE-GGA) on Li5Au3 after structural relaxation.

Cell lengths 7.057, 7.057, 10.281 Å; angles 90.00, 90.00, 90.00 degrees
Fractional coordinates of all 32 atoms:
Au: 0.000 0.500 0.001
Au: 0.858 0.142 0.250
Au: 0.358 0.358 0.250
Au: 0.642 0.642 0.250
Au: 0.142 0.858 0.250
Au: 0.500 0.000 0.499
Au: 0.000 0.500 0.501
Au: 0.142 0.142 0.750
Au: 0.642 0.358 0.750
Au: 0.358 0.642 0.750
Au: 0.858 0.858 0.750
Au: 0.500 0.000 0.999
Li: 0.157 0.157 0.091
Li: 0.657 0.343 0.091
Li: 0.343 0.657 0.091
Li: 0.843 0.843 0.091
Li: 0.500 0.000 0.249
Li: 0.000 0.500 0.251
Li: 0.157 0.157 0.409
Li: 0.657 0.343 0.409
Li: 0.343 0.657 0.409
Li: 0.843 0.843 0.409
Li: 0.843 0.157 0.591
Li: 0.343 0.343 0.591
Li: 0.657 0.657 0.591
Li: 0.157 0.843 0.591
Li: 0.500 0.000 0.749
Li: 0.000 0.500 0.751
Li: 0.843 0.157 0.909
Li: 0.343 0.343 0.909
Li: 0.657 0.657 0.909
Li: 0.157 0.843 0.909

Properties
uncorrected energy: -22.9 eV/f.u.
excess energy over the best structure of this formula in the dataset: 48 meV per atom
space group: No. 130



> What is the uncorrected energy in the sixth record?

-17.2 eV/f.u.



> uncorrected energy of number 6 (AcThB)?

-17.2 eV/f.u.